The following is a PBE-GGA calculation of an optimized crystal structure of Sc2PtW, from Alexandria.

DFT formation energy in eV/atom: -0.078
Total energy in eV/atom: -7.992

Unit cell a=6.560 b=6.560 c=6.560 alpha=90.00 beta=90.00 gamma=90.00
Space group F-43m (No. 216)
Unique sites:
1 Sc 0.000 0.000 0.000 (multiplicity 4)
2 Sc 0.250 0.250 0.250 (multiplicity 4)
3 Pt 0.000 0.000 0.500 (multiplicity 4)
4 W 0.250 0.250 0.750 (multiplicity 4)

The following is a PBE-GGA calculation of an optimized crystal structure of LiTi5Co4, from Alexandria.

DFT formation energy in eV/atom: -0.216
Total energy in eV/atom: -7.197

Unit cell a=2.900 b=2.900 c=16.965 alpha=90.00 beta=90.00 gamma=90.00
Space group P4/mmm (No. 123)
Unique sites:
1 Li 0.000 0.000 0.000 (multiplicity 1)
2 Ti 0.500 0.500 0.136 (multiplicity 2)
3 Ti 0.500 0.500 0.318 (multiplicity 2)
4 Ti 0.500 0.500 0.500 (multiplicity 1)
5 Co 0.000 0.000 0.229 (multiplicity 2)
6 Co 0.000 0.000 0.408 (multiplicity 2)

The following is a PBE-GGA calculation of an optimized crystal structure of MgRuAu2, from Alexandria.

DFT formation energy in eV/atom: -0.060
Total energy in eV/atom: -4.416

Unit cell a=5.878 b=7.324 c=3.094 alpha=90.00 beta=90.00 gamma=90.00
Space group Cmmm (No. 65)
Unique sites:
1 Mg 0.000 0.000 0.000 (multiplicity 2)
2 Ru 0.000 0.500 0.000 (multiplicity 2)
3 Au 0.250 0.250 0.500 (multiplicity 4)

> The lowest total energy belongs to which entry?

Sc2PtW

What did the third record say?
The following is a PBE-GGA calculation of an optimized crystal structure of MgRuAu2, from Alexandria.

DFT formation energy in eV/atom: -0.060
Total energy in eV/atom: -4.416

Unit cell a=5.878 b=7.324 c=3.094 alpha=90.00 beta=90.00 gamma=90.00
Space group Cmmm (No. 65)
Unique sites:
1 Mg 0.000 0.000 0.000 (multiplicity 2)
2 Ru 0.000 0.500 0.000 (multiplicity 2)
3 Au 0.250 0.250 0.500 (multiplicity 4)

> DFT formation energy of number 1 (Sc2PtW)?

-0.078 eV/atom

> What is the total energy in the first record?

-7.992 eV/atom